(1)
VASP calculation (GGA-PBE) on CuTe2SN after structural relaxation.

Summary:
energy above the most stable polymorph in this dataset: 0 meV/atom
formation energy from raw total energies: 0.93 eV/atom
ρ: 6.010 g/cm3

a = 5.335 Å, b = 5.335 Å, c = 3.541 Å
α = 90.00°, β = 90.00°, γ = 90.00°
Space group P4/mmm (No. 123)
Unique sites:
Cu  0.000  0.000  0.000 x1
Te  0.000  0.500  0.000 x2
S  0.500  0.500  0.500 x1
N  0.000  0.000  0.500 x1



(2)
VASP calculation (GGA-PBE) on CuTe2SN after structural relaxation.

Summary:
energy above the most stable polymorph in this dataset: 6 meV/atom
formation energy from raw total energies: 0.93 eV/atom
ρ: 5.740 g/cm3

a = 5.700 Å, b = 5.700 Å, c = 3.249 Å
α = 90.00°, β = 90.00°, γ = 90.00°
Space group P4/mmm (No. 123)
Unique sites:
Cu  0.000  0.000  0.000 x1
Te  0.000  0.500  0.500 x2
S  0.500  0.500  0.500 x1
N  0.500  0.500  0.000 x1



(3)
VASP calculation (GGA-PBE) on CuTeS2N after structural relaxation.

Summary:
energy above the most stable polymorph in this dataset: 325 meV/atom
formation energy from raw total energies: 1.22 eV/atom
ρ: 4.461 g/cm3

a = 5.067 Å, b = 5.067 Å, c = 3.904 Å
α = 90.00°, β = 90.00°, γ = 90.00°
Space group P4/mmm (No. 123)
Unique sites:
Cu  0.000  0.000  0.000 x1
Te  0.500  0.500  0.500 x1
S  0.000  0.500  0.500 x2
N  0.500  0.500  0.000 x1